[1]
Density functional theory data (PBE) for a relaxed structure of YTa7.

Values from the calculation:
Space-group type: Fm-3m (225)
Calculated volume in Å³ per atom: 19.7
ΔH_f (0 K) in meV per atom: 416
Theoretical density in g/cm³: 14.289
M_tot in Bohr magnetons per cell: 0.0
Fermi-level density of states in states/eV/cell: 11.448

a b c (Å): 6.062 6.062 6.062
angles (deg): 60.00 60.00 60.00
Fractional positions:
Y (0.000, 0.000, 0.000)
Ta (0.000, 0.000, 0.500)
Ta (0.000, 0.500, 0.000)
Ta (0.000, 0.500, 0.500)
Ta (0.500, 0.000, 0.000)
Ta (0.500, 0.000, 0.500)
Ta (0.500, 0.500, 0.000)
Ta (0.500, 0.500, 0.500)


[2]
Density functional theory data (PBE) for a relaxed structure of YTa.

Values from the calculation:
Space-group type: P6_3/m (176)
Calculated volume in Å³ per atom: 26.0
ΔH_f (0 K) in meV per atom: 698
Theoretical density in g/cm³: 8.629
M_tot in Bohr magnetons per cell: 0.0
Fermi-level density of states in states/eV/cell: 9.544

a b c (Å): 10.816 10.816 3.075
angles (deg): 90.00 90.00 120.00
Fractional positions:
Y (0.051, 0.312, 0.250)
Y (0.261, 0.949, 0.250)
Y (0.312, 0.261, 0.750)
Y (0.688, 0.739, 0.250)
Y (0.739, 0.051, 0.750)
Y (0.949, 0.688, 0.750)
Ta (0.168, 0.628, 0.250)
Ta (0.372, 0.540, 0.250)
Ta (0.460, 0.832, 0.250)
Ta (0.540, 0.168, 0.750)
Ta (0.628, 0.460, 0.750)
Ta (0.832, 0.372, 0.750)


[3]
Density functional theory data (PBE) for a relaxed structure of YTa.

Values from the calculation:
Space-group type: P-3m1 (164)
Calculated volume in Å³ per atom: 24.7
ΔH_f (0 K) in meV per atom: 428
Theoretical density in g/cm³: 9.068
M_tot in Bohr magnetons per cell: 0.0
Fermi-level density of states in states/eV/cell: 8.058

a b c (Å): 3.381 3.381 9.985
angles (deg): 90.00 90.00 120.00
Fractional positions:
Y (0.333, 0.667, 0.345)
Y (0.667, 0.333, 0.655)
Ta (0.333, 0.667, 0.904)
Ta (0.667, 0.333, 0.096)


[4]
Density functional theory data (PBE) for a relaxed structure of YTa3.

Values from the calculation:
Space-group type: I4/mmm (139)
Calculated volume in Å³ per atom: 20.3
ΔH_f (0 K) in meV per atom: 419
Theoretical density in g/cm³: 12.892
M_tot in Bohr magnetons per cell: 0.0
Fermi-level density of states in states/eV/cell: 6.363

a b c (Å): 4.859 4.859 4.859
angles (deg): 119.81 119.81 90.32
Fractional positions:
Y (0.000, 0.000, 0.000)
Ta (0.250, 0.750, 0.500)
Ta (0.500, 0.500, 0.000)
Ta (0.750, 0.250, 0.500)


[5]
Density functional theory data (PBE) for a relaxed structure of YTa.

Values from the calculation:
Space-group type: P4/nmm (129)
Calculated volume in Å³ per atom: 23.1
ΔH_f (0 K) in meV per atom: 488
Theoretical density in g/cm³: 9.682
M_tot in Bohr magnetons per cell: 0.0
Fermi-level density of states in states/eV/cell: 3.372

a b c (Å): 4.231 4.231 5.171
angles (deg): 90.00 90.00 90.00
Fractional positions:
Y (0.250, 0.250, 0.038)
Y (0.750, 0.750, 0.962)
Ta (0.250, 0.750, 0.500)
Ta (0.750, 0.250, 0.500)


[6]
Density functional theory data (PBE) for a relaxed structure of Y2Ta3.

Values from the calculation:
Space-group type: R-3m (166)
Calculated volume in Å³ per atom: 22.2
ΔH_f (0 K) in meV per atom: 513
Theoretical density in g/cm³: 10.787
M_tot in Bohr magnetons per cell: 0.0
Fermi-level density of states in states/eV/cell: 6.078

a b c (Å): 13.240 13.240 13.240
angles (deg): 13.56 13.56 13.56
Fractional positions:
Y (0.098, 0.098, 0.098)
Y (0.902, 0.902, 0.902)
Ta (0.304, 0.304, 0.304)
Ta (0.500, 0.500, 0.500)
Ta (0.696, 0.696, 0.696)


[7]
Density functional theory data (PBE) for a relaxed structure of YTa3.

Values from the calculation:
Space-group type: Cmcm (63)
Calculated volume in Å³ per atom: 21.3
ΔH_f (0 K) in meV per atom: 319
Theoretical density in g/cm³: 12.321
M_tot in Bohr magnetons per cell: 0.0
Fermi-level density of states in states/eV/cell: 8.093

a b c (Å): 6.110 6.110 4.799
angles (deg): 90.00 90.00 108.07
Fractional positions:
Y (0.124, 0.876, 0.750)
Y (0.876, 0.124, 0.250)
Ta (0.184, 0.404, 0.750)
Ta (0.371, 0.629, 0.250)
Ta (0.404, 0.184, 0.250)
Ta (0.596, 0.816, 0.750)
Ta (0.629, 0.371, 0.750)
Ta (0.816, 0.596, 0.250)


[8]
Density functional theory data (PBE) for a relaxed structure of Y2Ta3.

Values from the calculation:
Space-group type: I4/mmm (139)
Calculated volume in Å³ per atom: 23.6
ΔH_f (0 K) in meV per atom: 197
Theoretical density in g/cm³: 10.122
M_tot in Bohr magnetons per cell: 0.0
Fermi-level density of states in states/eV/cell: 6.694

a b c (Å): 10.258 10.258 10.258
angles (deg): 160.67 160.67 27.47
Fractional positions:
Y (0.178, 0.178, 0.000)
Y (0.822, 0.822, 0.000)
Ta (0.000, 0.000, 0.000)
Ta (0.427, 0.427, 0.000)
Ta (0.573, 0.573, 0.000)


[9]
Density functional theory data (PBE) for a relaxed structure of YTa3.

Values from the calculation:
Space-group type: Pmmm (47)
Calculated volume in Å³ per atom: 20.8
ΔH_f (0 K) in meV per atom: 433
Theoretical density in g/cm³: 12.580
M_tot in Bohr magnetons per cell: 0.0
Fermi-level density of states in states/eV/cell: 5.305

a b c (Å): 2.884 4.715 6.134
angles (deg): 90.00 90.00 90.00
Fractional positions:
Y (0.000, 0.000, 0.000)
Ta (0.000, 0.000, 0.500)
Ta (0.500, 0.500, 0.277)
Ta (0.500, 0.500, 0.723)


[10]
Density functional theory data (PBE) for a relaxed structure of Y2Ta.

Values from the calculation:
Space-group type: Cm (8)
Calculated volume in Å³ per atom: 28.0
ΔH_f (0 K) in meV per atom: 316
Theoretical density in g/cm³: 7.084
M_tot in Bohr magnetons per cell: 0.0
Fermi-level density of states in states/eV/cell: 9.602

a b c (Å): 6.074 6.074 8.611
angles (deg): 101.59 101.59 32.78
Fractional positions:
Y (0.000, 0.000, 0.000)
Y (0.045, 0.045, 0.437)
Y (0.342, 0.342, 0.640)
Y (0.750, 0.750, 0.250)
Ta (0.258, 0.258, 0.950)
Ta (0.625, 0.625, 0.751)


[11]
Density functional theory data (PBE) for a relaxed structure of Y5Ta3.

Values from the calculation:
Space-group type: P6_3/mcm (193)
Calculated volume in Å³ per atom: 26.6
ΔH_f (0 K) in meV per atom: 543
Theoretical density in g/cm³: 7.712
M_tot in Bohr magnetons per cell: 0.0
Fermi-level density of states in states/eV/cell: 21.173

a b c (Å): 9.127 9.127 5.894
angles (deg): 90.00 90.00 120.00
Fractional positions:
Y (0.000, 0.248, 0.250)
Y (0.000, 0.752, 0.750)
Y (0.248, 0.000, 0.250)
Y (0.248, 0.248, 0.750)
Y (0.333, 0.667, 0.000)
Y (0.333, 0.667, 0.500)
Y (0.667, 0.333, 0.000)
Y (0.667, 0.333, 0.500)
Y (0.752, 0.000, 0.750)
Y (0.752, 0.752, 0.250)
Ta (0.000, 0.420, 0.750)
Ta (0.000, 0.580, 0.250)
Ta (0.420, 0.000, 0.750)
Ta (0.420, 0.420, 0.250)
Ta (0.580, 0.000, 0.250)
Ta (0.580, 0.580, 0.750)


[12]
Density functional theory data (PBE) for a relaxed structure of YTa.

Values from the calculation:
Space-group type: P2_1/m (11)
Calculated volume in Å³ per atom: 24.0
ΔH_f (0 K) in meV per atom: 349
Theoretical density in g/cm³: 9.318
M_tot in Bohr magnetons per cell: 0.0
Fermi-level density of states in states/eV/cell: 4.122

a b c (Å): 3.188 4.864 6.372
angles (deg): 90.00 103.21 90.00
Fractional positions:
Y (0.187, 0.250, 0.339)
Y (0.813, 0.750, 0.661)
Ta (0.377, 0.250, 0.894)
Ta (0.623, 0.750, 0.106)


[13]
Density functional theory data (PBE) for a relaxed structure of Y5Ta3.

Values from the calculation:
Space-group type: Cmmm (65)
Calculated volume in Å³ per atom: 25.6
ΔH_f (0 K) in meV per atom: 388
Theoretical density in g/cm³: 8.013
M_tot in Bohr magnetons per cell: 0.0
Fermi-level density of states in states/eV/cell: 9.693

a b c (Å): 6.717 6.717 4.585
angles (deg): 90.00 90.00 98.49
Fractional positions:
Y (0.000, 0.000, 0.000)
Y (0.000, 0.500, 0.000)
Y (0.247, 0.753, 0.500)
Y (0.500, 0.000, 0.000)
Y (0.753, 0.247, 0.500)
Ta (0.311, 0.311, 0.500)
Ta (0.500, 0.500, 0.000)
Ta (0.689, 0.689, 0.500)


[14]
Density functional theory data (PBE) for a relaxed structure of YTa.

Values from the calculation:
Space-group type: R-3m (166)
Calculated volume in Å³ per atom: 24.6
ΔH_f (0 K) in meV per atom: 429
Theoretical density in g/cm³: 9.092
M_tot in Bohr magnetons per cell: 0.0
Fermi-level density of states in states/eV/cell: 7.321

a b c (Å): 10.355 10.355 10.355
angles (deg): 18.59 18.59 18.59
Fractional positions:
Y (0.114, 0.114, 0.114)
Y (0.886, 0.886, 0.886)
Ta (0.365, 0.365, 0.365)
Ta (0.635, 0.635, 0.635)


[15]
Density functional theory data (PBE) for a relaxed structure of YTa.

Values from the calculation:
Space-group type: P4/nmm (129)
Calculated volume in Å³ per atom: 25.4
ΔH_f (0 K) in meV per atom: 182
Theoretical density in g/cm³: 8.822
M_tot in Bohr magnetons per cell: 0.0
Fermi-level density of states in states/eV/cell: 3.617

a b c (Å): 3.541 3.541 8.100
angles (deg): 90.00 90.00 90.00
Fractional positions:
Y (0.250, 0.250, 0.179)
Y (0.750, 0.750, 0.821)
Ta (0.250, 0.250, 0.576)
Ta (0.750, 0.750, 0.424)


[16]
Density functional theory data (PBE) for a relaxed structure of Y5Ta.

Values from the calculation:
Space-group type: Amm2 (38)
Calculated volume in Å³ per atom: 29.1
ΔH_f (0 K) in meV per atom: 214
Theoretical density in g/cm³: 5.954
M_tot in Bohr magnetons per cell: 0.0
Fermi-level density of states in states/eV/cell: 8.983

a b c (Å): 5.495 9.370 9.370
angles (deg): 21.20 90.00 90.00
Fractional positions:
Y (0.000, 0.000, 0.000)
Y (0.000, 0.306, 0.306)
Y (0.500, 0.205, 0.205)
Y (0.500, 0.552, 0.552)
Y (0.500, 0.880, 0.880)
Ta (0.000, 0.652, 0.652)


[17]
Density functional theory data (PBE) for a relaxed structure of YTa.

Values from the calculation:
Space-group type: Pm-3m (221)
Calculated volume in Å³ per atom: 23.4
ΔH_f (0 K) in meV per atom: 725
Theoretical density in g/cm³: 9.565
M_tot in Bohr magnetons per cell: 0.0
Fermi-level density of states in states/eV/cell: 3.894

a b c (Å): 3.605 3.605 3.605
angles (deg): 90.00 90.00 90.00
Fractional positions:
Y (0.000, 0.000, 0.000)
Ta (0.500, 0.500, 0.500)


[18]
Density functional theory data (PBE) for a relaxed structure of YTa3.

Values from the calculation:
Space-group type: Pm-3n (223)
Calculated volume in Å³ per atom: 20.6
ΔH_f (0 K) in meV per atom: 509
Theoretical density in g/cm³: 12.762
M_tot in Bohr magnetons per cell: 0.0
Fermi-level density of states in states/eV/cell: 10.562

a b c (Å): 5.478 5.478 5.478
angles (deg): 90.00 90.00 90.00
Fractional positions:
Y (0.000, 0.000, 0.000)
Y (0.500, 0.500, 0.500)
Ta (0.000, 0.250, 0.500)
Ta (0.000, 0.750, 0.500)
Ta (0.250, 0.500, 0.000)
Ta (0.500, 0.000, 0.250)
Ta (0.500, 0.000, 0.750)
Ta (0.750, 0.500, 0.000)


[19]
Density functional theory data (PBE) for a relaxed structure of Y2Ta.

Values from the calculation:
Space-group type: C2/m (12)
Calculated volume in Å³ per atom: 26.3
ΔH_f (0 K) in meV per atom: 321
Theoretical density in g/cm³: 7.564
M_tot in Bohr magnetons per cell: 0.0
Fermi-level density of states in states/eV/cell: 6.689

a b c (Å): 6.562 6.562 7.681
angles (deg): 101.18 101.18 29.09
Fractional positions:
Y (0.123, 0.123, 0.032)
Y (0.184, 0.184, 0.639)
Y (0.816, 0.816, 0.361)
Y (0.877, 0.877, 0.968)
Ta (0.466, 0.466, 0.662)
Ta (0.534, 0.534, 0.338)


[20]
Density functional theory data (PBE) for a relaxed structure of YTa.

Values from the calculation:
Space-group type: P4/m (83)
Calculated volume in Å³ per atom: 25.4
ΔH_f (0 K) in meV per atom: 444
Theoretical density in g/cm³: 8.816
M_tot in Bohr magnetons per cell: 0.0
Fermi-level density of states in states/eV/cell: 23.321

a b c (Å): 11.219 11.219 3.231
angles (deg): 90.00 90.00 90.00
Fractional positions:
Y (0.089, 0.372, 0.000)
Y (0.115, 0.820, 0.500)
Y (0.180, 0.115, 0.500)
Y (0.372, 0.911, 0.000)
Y (0.628, 0.089, 0.000)
Y (0.820, 0.885, 0.500)
Y (0.885, 0.180, 0.500)
Y (0.911, 0.628, 0.000)
Ta (0.226, 0.605, 0.000)
Ta (0.340, 0.422, 0.500)
Ta (0.395, 0.226, 0.000)
Ta (0.422, 0.660, 0.500)
Ta (0.578, 0.340, 0.500)
Ta (0.605, 0.774, 0.000)
Ta (0.660, 0.578, 0.500)
Ta (0.774, 0.395, 0.000)


How do the records compare in uncorrected energy? In the order shown, they have -10.7634, -8.4606, -8.7299, -10.0866, -8.6699, -9.1842, -10.1862, -9.5005, -10.0728, -7.9445, -7.9419, -8.8092, -8.0971, -8.7289, -8.9768, -7.1485, -8.4334, -9.9969, -7.9390, -8.7148 eV/atom.